1.
Compound: Na3CoP
Source: Alexandria
Functional: PBE
Structure: optimized geometry

POSCAR file:
```
Na3CoP
1.0
5.403 0.000 0.000
0.000 5.403 0.000
0.000 0.000 5.403
Co Na P
1 3 1
Cartesian
2.702 2.702 2.702
2.702 0.000 0.000
0.000 2.702 0.000
0.000 0.000 2.702
0.000 0.000 0.000
```

Output
The calculation puts the volume at 158 Å³/cell. The energy above the most stable polymorph in this dataset is 0 meV/atom. The value obtained for the size of the total moment is 0.6000 μB per atom. The formation enthalpy at 0 K is 0.6318 eV/atom.

***

2.
Compound: Na2Co2P
Source: Alexandria
Functional: PBE
Structure: optimized geometry

POSCAR file:
```
Na2Co2P
1.0
-3.669 -4.229 0.451
3.408 -3.281 -3.029
2.257 -1.512 4.177
Na Co P
4 4 2
Cartesian
1.441 -6.320 -0.095
-0.791 -5.288 1.484
0.554 -2.702 1.694
2.786 -3.734 0.115
-0.928 -5.730 -1.573
1.611 -4.294 -2.425
0.666 -1.779 -1.004
-1.873 -3.215 -0.152
-0.131 -3.755 -1.289
0.000 0.000 0.000
```

Output
The calculation puts the volume at 157 Å³/cell. The value obtained for the size of the total moment is 0.0000 μB per atom. The formation enthalpy at 0 K is -0.0295 eV/atom.

***

3.
Compound: NaCoPPd
Source: Alexandria
Functional: PBE
Structure: optimized geometry

POSCAR file:
```
NaCoPPd
1.0
3.662 0.000 0.000
0.000 3.662 0.000
0.000 0.000 10.639
Na P Co Pd
2 2 2 2
Cartesian
0.915 0.915 7.754
2.746 2.746 2.885
0.915 0.915 1.225
2.746 2.746 9.414
0.915 2.746 0.000
2.746 0.915 0.000
2.746 0.915 5.320
0.915 2.746 5.320
```

Output
The calculation puts the volume at 143 Å³/cell. The value obtained for the size of the total moment is 0.0000 μB per atom. The formation enthalpy at 0 K is -0.2870 eV/atom.

***

4.
Compound: NaCoReP2
Source: Alexandria
Functional: PBE
Structure: optimized geometry

POSCAR file:
```
NaCoReP2
1.0
3.946 0.000 0.000
0.000 3.946 0.000
-1.973 -1.973 4.894
Na Re P Co
1 1 2 1
Cartesian
0.000 0.000 0.000
0.000 1.973 2.447
0.000 0.000 3.639
1.973 1.973 1.255
1.973 0.000 2.447
```

Output
The calculation puts the volume at 76 Å³/cell. The value obtained for the size of the total moment is 0.0000 μB per atom. The formation enthalpy at 0 K is -0.3950 eV/atom.

***

5.
Compound: NaCoP2Rh
Source: Alexandria
Functional: PBE
Structure: optimized geometry

POSCAR file:
```
NaCoP2Rh
1.0
-1.073 -3.548 -1.206
3.329 -1.478 1.387
-3.255 1.712 4.161
Na P Rh Co
1 2 1 1
Cartesian
0.000 0.000 0.000
0.609 -2.709 1.128
-1.608 -0.606 3.214
0.601 -1.140 2.819
-1.600 -2.175 1.523
```

Output
The calculation puts the volume at 73 Å³/cell. The value obtained for the size of the total moment is 0.0008 μB per atom. The formation enthalpy at 0 K is -0.5872 eV/atom.

***

6.
Compound: NaCoP2S
Source: Alexandria
Functional: PBE
Structure: optimized geometry

POSCAR file:
```
NaCoP2S
1.0
4.220 0.000 0.000
0.000 4.220 0.000
0.000 0.000 5.284
P S Co Na
2 1 1 1
Cartesian
0.000 2.110 0.000
2.110 0.000 0.000
0.000 0.000 2.642
0.000 0.000 0.000
2.110 2.110 2.642
```

Output
The calculation puts the volume at 94 Å³/cell. The energy above the most stable polymorph in this dataset is 0 meV/atom. The value obtained for the size of the total moment is 0.0000 μB per atom. As for the uncorrected formation energy: 0.078 eV/atom.

***

7.
Compound: NaCoP2S
Source: Alexandria
Functional: PBE
Structure: optimized geometry

POSCAR file:
```
NaCoP2S
1.0
4.734 0.000 0.000
0.000 4.734 0.000
0.000 0.000 4.722
Co S P Na
1 1 2 1
Cartesian
2.367 2.367 2.361
0.000 0.000 2.361
2.367 0.000 0.000
0.000 2.367 0.000
0.000 0.000 0.000
```

Output
The calculation puts the volume at 106 Å³/cell. The energy above the most stable polymorph in this dataset is 1733 meV/atom. The value obtained for the size of the total moment is 0.0052 μB per atom. As for the uncorrected formation energy: 1.811 eV/atom.

***

8.
Compound: NaCoP2Se8
Source: Alexandria
Functional: PBE
Structure: optimized geometry

POSCAR file:
```
NaCoP2Se8
1.0
5.826 0.000 0.000
-2.913 5.046 0.000
0.000 0.000 10.482
Se P Na Co
8 2 1 1
Cartesian
4.706 1.466 6.746
0.709 1.703 3.736
2.913 1.682 0.863
-1.793 3.580 3.736
2.204 3.343 6.746
0.000 3.364 9.619
1.084 4.808 3.736
1.829 0.237 6.746
2.913 1.682 3.028
0.000 3.364 7.454
0.000 0.000 0.000
0.000 0.000 5.241
```

Output
The calculation puts the volume at 308 Å³/cell. The value obtained for the size of the total moment is 0.0000 μB per atom. As for the uncorrected formation energy: -0.125 eV/atom.

***

9.
Compound: NaCoTcP2
Source: Alexandria
Functional: PBE
Structure: optimized geometry

POSCAR file:
```
NaCoTcP2
1.0
3.948 0.000 0.000
0.000 3.948 0.000
-1.974 -1.974 4.848
Na Tc P Co
1 1 2 1
Cartesian
0.000 0.000 0.000
0.000 1.974 2.424
0.000 0.000 3.595
1.974 1.974 1.253
1.974 0.000 2.424
```

Output
The calculation puts the volume at 76 Å³/cell. The value obtained for the size of the total moment is 0.0000 μB per atom. The formation enthalpy at 0 K is -0.5193 eV/atom.

***

10.
Compound: NaTlCoP2
Source: Alexandria
Functional: PBE
Structure: optimized geometry

POSCAR file:
```
NaTlCoP2
1.0
-2.621 2.591 2.376
-3.890 -0.483 -3.763
-1.583 -3.516 2.088
Tl P Na Co
1 2 1 1
Cartesian
-1.945 -0.242 -1.882
-0.792 -1.758 1.044
-1.310 1.296 1.188
-4.047 -0.704 0.350
0.000 0.000 0.000
```

Output
The calculation puts the volume at 104 Å³/cell. The value obtained for the size of the total moment is 0.1913 μB per atom. The formation enthalpy at 0 K is 0.1993 eV/atom.

***

11.
Compound: NaV2CoP
Source: Alexandria
Functional: PBE
Structure: optimized geometry

POSCAR file:
```
NaV2CoP
1.0
-3.798 2.034 -1.094
-1.969 -2.001 3.117
0.989 3.335 2.766
Co V P Na
1 2 1 1
Cartesian
-0.985 -1.001 1.559
-1.899 1.017 -0.547
0.495 1.668 1.383
0.000 0.000 0.000
-2.389 1.684 2.395
```

Output
The calculation puts the volume at 83 Å³/cell. The value obtained for the size of the total moment is 0.0006 μB per atom. The formation enthalpy at 0 K is 0.4820 eV/atom.

***

12.
Compound: NaZnCoP
Source: Alexandria
Functional: PBE
Structure: optimized geometry

POSCAR file:
```
NaZnCoP
1.0
-2.225 -2.521 1.408
1.639 0.361 3.236
-7.212 7.913 2.770
Zn Co P Na
2 2 2 2
Cartesian
-2.933 3.597 4.164
-4.865 2.156 3.250
0.673 -0.359 2.779
-1.259 -1.800 1.865
-0.956 0.349 1.472
-6.842 5.405 5.942
-5.545 5.384 3.235
-2.253 0.370 4.180
```

Output
The calculation puts the volume at 147 Å³/cell. The value obtained for the size of the total moment is 0.0000 μB per atom. The formation enthalpy at 0 K is -0.3228 eV/atom.

***

13.
Compound: NaPaCo
Source: Alexandria
Functional: PBE
Structure: optimized geometry

POSCAR file:
```
NaPaCo
1.0
3.605 -0.004 0.299
-0.021 3.605 0.299
-0.975 -0.980 11.628
Co Pa Na
2 2 2
Cartesian
1.834 1.843 10.619
0.775 0.779 1.606
2.575 2.588 1.806
0.033 0.034 10.419
0.534 0.537 4.493
2.074 2.084 7.733
```

Output
The calculation puts the volume at 153 Å³/cell. The value obtained for the size of the total moment is 0.0000 μB per atom. The formation enthalpy at 0 K is -0.1012 eV/atom.

***

14.
Compound: Na2Pa2CoS6
Source: Alexandria
Functional: PBE
Structure: optimized geometry

POSCAR file:
```
Na2Pa2CoS6
1.0
-0.096 -5.336 3.881
4.060 5.016 1.382
-6.150 2.996 2.182
S Pa Na Co
6 2 2 1
Cartesian
1.982 2.325 4.257
0.604 -1.108 5.085
-0.810 0.770 1.841
-1.377 1.906 5.604
-2.791 3.783 2.359
-4.169 0.350 3.188
-0.433 2.983 3.325
-1.754 -0.308 4.119
0.592 -3.622 3.467
3.371 3.301 1.796
-3.075 1.498 1.091
```

Output
The calculation puts the volume at 259 Å³/cell. The value obtained for the size of the total moment is 0.2850 μB per atom. As for the uncorrected formation energy: -1.239 eV/atom.

***

15.
Compound: Na2Pa2CoSe6
Source: Alexandria
Functional: PBE
Structure: optimized geometry

POSCAR file:
```
Na2Pa2CoSe6
1.0
-0.027 6.178 -2.941
-5.585 -3.941 -0.299
-0.545 2.182 7.212
Se Na Pa Co
6 2 2 1
Cartesian
-3.558 3.972 -0.882
-5.360 0.690 -0.025
-2.599 0.447 4.854
-1.457 1.124 1.240
-4.700 3.294 2.732
-0.797 3.729 3.998
-4.638 -2.218 -0.749
-0.974 4.454 -2.491
-3.970 0.587 2.410
-2.187 3.832 1.563
-0.272 1.091 3.606
```

Output
The calculation puts the volume at 293 Å³/cell. The value obtained for the size of the total moment is 0.2814 μB per atom. As for the uncorrected formation energy: -1.067 eV/atom.

***

16.
Compound: NaPaCoSe4
Source: Alexandria
Functional: PBE
Structure: optimized geometry

POSCAR file:
```
NaPaCoSe4
1.0
6.900 0.000 0.064
0.000 5.882 0.000
-2.619 0.000 8.205
Na Se Co Pa
2 8 2 2
Cartesian
1.714 1.470 0.475
2.568 4.411 7.794
6.050 0.039 2.334
2.650 4.411 1.211
2.909 1.470 3.293
1.631 1.470 7.059
-1.769 2.980 5.935
1.372 4.411 4.977
-1.769 5.843 5.935
6.050 2.902 2.334
3.418 1.470 5.560
0.863 4.411 2.710
0.381 1.470 4.584
3.901 4.411 3.685
```

Output
The calculation puts the volume at 334 Å³/cell. The value obtained for the size of the total moment is 0.2567 μB per atom. As for the uncorrected formation energy: -0.922 eV/atom.

***

17.
Compound: Na2CoPb
Source: Alexandria
Functional: PBE
Structure: optimized geometry

POSCAR file:
```
Na2CoPb
1.0
2.477 -3.200 -3.066
-1.094 -4.957 0.087
-2.413 -2.136 -3.924
Na Co Pb
2 1 1
Cartesian
-0.772 -7.721 -5.177
-0.257 -2.574 -1.726
0.000 0.000 0.000
-0.515 -5.147 -3.452
```

Output
The calculation puts the volume at 93 Å³/cell. The value obtained for the size of the total moment is 0.3837 μB per atom. The formation enthalpy at 0 K is 0.5574 eV/atom.

***

18.
Compound: Na2CoPb
Source: Alexandria
Functional: PBE
Structure: optimized geometry

POSCAR file:
```
Na2CoPb
1.0
8.763 0.000 0.000
0.000 8.763 0.000
4.382 4.382 2.606
Na Co Pb
4 2 2
Cartesian
10.954 10.402 1.954
6.021 2.191 0.651
2.743 6.572 0.651
6.572 7.124 1.954
4.382 4.382 0.000
4.382 8.763 1.303
0.000 0.000 0.000
8.763 4.382 1.303
```

Output
The calculation puts the volume at 200 Å³/cell. The value obtained for the size of the total moment is 0.2913 μB per atom. The formation enthalpy at 0 K is 0.4853 eV/atom.

***

19.
Compound: NaCoPb3
Source: Alexandria
Functional: PBE
Structure: optimized geometry

POSCAR file:
```
NaCoPb3
1.0
-1.820 -4.132 -2.564
4.831 -1.851 -0.446
-0.559 -2.542 4.493
Na Pb Co
1 3 1
Cartesian
1.226 -4.262 0.741
2.415 -0.925 -0.223
-0.279 -1.271 2.247
-0.910 -2.066 -1.282
0.000 0.000 0.000
```

Output
The calculation puts the volume at 140 Å³/cell. The energy above the most stable polymorph in this dataset is 0 meV/atom. The value obtained for the size of the total moment is 0.2555 μB per atom. The formation enthalpy at 0 K is 0.1621 eV/atom.

***

20.
Compound: NaCo2Pb
Source: Alexandria
Functional: PBE
Structure: optimized geometry

POSCAR file:
```
NaCo2Pb
1.0
7.448 0.000 0.000
0.000 7.448 0.000
3.724 3.724 2.752
Co Pb Na
4 2 2
Cartesian
5.586 5.463 2.064
1.739 5.586 0.688
5.709 1.862 0.688
9.310 9.433 2.064
7.448 3.724 1.376
0.000 0.000 0.000
3.724 3.724 0.000
3.724 7.448 1.376
```

Output
The calculation puts the volume at 153 Å³/cell. The value obtained for the size of the total moment is 0.7400 μB per atom. The formation enthalpy at 0 K is 0.9112 eV/atom.